The following is a PBEsol calculation of CsAl2Ge2 after structural relaxation, from Alexandria.

Computed properties:
As for the final energy: -3.937 eV/atom. The calculation puts the calculated volume at 260.8 Å³ per cell. As for the formation energy: -3.15 kcal/mol of atoms.

```
data_CsAl2Ge2
_chemical_formula_sum 'Cs2 Al4 Ge4'
_cell_length_a 3.9902
_cell_length_b 3.9902
_cell_length_c 16.3824
_cell_angle_alpha 90.00
_cell_angle_beta 90.00
_cell_angle_gamma 90.00
_space_group_name_H-M_alt 'I 4/m m m'
_space_group_IT_number 139
_space_group_name_Hall '-I 4 2'
loop_
_atom_site_label
_atom_site_fract_x
_atom_site_fract_y
_atom_site_fract_z
Cs1 0.0000 0.0000 0.0000
Al1 0.0000 0.5000 0.2500
Ge1 0.0000 0.0000 0.3537
```